The following is a PBE-GGA calculation of a relaxed CaTlCuPd crystal, from Alexandria via LeMat-Bulk.

Lattice parameters (Å, degrees): 4.837 4.837 4.837 60.00 60.00 60.00
Sites, in units of the cell vectors:
Tl1 0.250 0.250 0.250
Cu1 0.500 0.500 0.500
Ca1 0.750 0.750 0.750
Pd1 0.000 0.000 0.000

Output
Space group   F-43m, No. 216
Calculated total energy   -14.67 eV per cell
Total magnetization   0.0 Bohr magnetons per cell

=====

The following is a PBE-GGA calculation of a relaxed NaGeBiCl2 crystal, from Alexandria via LeMat-Bulk.

Lattice parameters (Å, degrees): 5.630 5.662 5.630 90.00 90.00 90.00
Last column: magnetic moment on the atom in μB.
Sites, in units of the cell vectors:
Ge1 0.000 0.500 0.000  0.53
Bi1 0.000 0.000 0.000  -0.01
Cl1 0.500 0.000 0.000  0.04
Cl2 0.000 0.000 0.500  0.06
Na1 0.500 0.500 0.500  0.01

Output
Formation energy from raw total energies   -1.3 eV/f.u.
Space group   P4/mmm, No. 123
Total magnetization   1.6 Bohr magnetons per cell

=====

The following is a PBE-GGA calculation of a relaxed ErTm4Tl crystal, from Alexandria via LeMat-Bulk.

Lattice parameters (Å, degrees): 5.443 6.422 10.815 90.00 104.58 90.00
Sites, in units of the cell vectors:
Tm1 0.461 0.092 0.922
Tm2 0.319 0.913 0.638
Tm3 0.539 0.592 0.078
Er1 0.937 0.769 0.873
Tm4 0.256 0.391 0.511
Tm5 0.138 0.753 0.276
Tl1 0.603 0.017 0.205
Tl2 0.397 0.517 0.795
Tm6 0.681 0.413 0.362
Er2 0.063 0.269 0.127
Tm7 0.744 0.891 0.489
Tm8 0.862 0.253 0.724

Output
Polymorph energy (0 for the lowest one)   148 meV/atom
Space group   Cmc2_1, No. 36
Total magnetization   0.0 Bohr magnetons per cell

=====

The following is a PBE-GGA calculation of a relaxed Dy3Ho2Sc7 crystal, from Alexandria via LeMat-Bulk.

Lattice parameters (Å, degrees): 3.508 5.270 18.955 90.00 95.31 90.00
Last column: magnetic moment on the atom in μB.
Sites, in units of the cell vectors:
Ho1 0.363 0.500 0.727  0.02
Sc1 0.067 0.500 0.134  0.00
Sc2 0.419 0.000 0.837  0.00
Dy1 0.500 0.500 0.000  0.00
Sc3 0.000 0.000 0.000  -0.02
Dy2 0.173 0.000 0.345  -0.01
Sc4 0.284 0.500 0.567  0.43
Sc5 0.933 0.500 0.866  0.00
Dy3 0.827 0.000 0.655  -0.01
Sc6 0.716 0.500 0.433  0.43
Sc7 0.581 0.000 0.163  0.00
Ho2 0.637 0.500 0.273  0.02

Output
Space group   P2/m, No. 10
Calculated total energy   -64.17 eV per cell
Total magnetization   1.4 Bohr magnetons per cell

=====

The following is a PBE-GGA calculation of a relaxed La2NdMg5 crystal, from Alexandria via LeMat-Bulk.

Lattice parameters (Å, degrees): 5.306 5.306 8.915 107.31 107.31 90.00
Sites, in units of the cell vectors:
Mg1 0.114 0.614 0.228
Mg2 0.886 0.386 0.772
La1 0.738 0.738 0.476
La2 0.262 0.262 0.524
Mg3 0.386 0.886 0.772
Mg4 0.500 0.500 0.000
Nd1 0.000 0.000 0.000
Mg5 0.614 0.114 0.228

Output
Space group   I4/mmm, No. 139
Calculated total energy   -23.40 eV per cell
Total magnetization   0.0 Bohr magnetons per cell

=====

The following is a PBE-GGA calculation of a relaxed TbEr4Ir2 crystal, from Alexandria via LeMat-Bulk.

Lattice parameters (Å, degrees): 6.283 7.873 7.795 112.75 90.00 90.00
Sites, in units of the cell vectors:
Er1 0.998 0.416 0.762
Er2 0.498 0.584 0.238
Er3 0.250 0.251 0.335
Ir1 0.750 0.373 0.412
Tb1 0.750 0.159 0.026
Er4 0.502 0.416 0.762
Er5 0.002 0.584 0.238
Er6 0.250 0.985 0.620
Ir2 0.250 0.261 0.985
Ir3 0.250 0.627 0.588
Er7 0.750 0.749 0.665
Er8 0.750 0.015 0.380
Tb2 0.250 0.841 0.974
Ir4 0.750 0.739 0.015

Output
Space group   P2_1/m, No. 11
Calculated total energy   -89.17 eV per cell
Total magnetization   0.0 Bohr magnetons per cell

=====

The following is a PBE-GGA calculation of a relaxed Th3Ga4Cu4 crystal, from Alexandria via LeMat-Bulk.

Lattice parameters (Å, degrees): 4.319 4.154 12.600 99.49 99.87 90.00
Sites, in units of the cell vectors:
Ga1 0.552 0.552 0.103
Th1 0.347 0.847 0.695
Ga2 0.803 0.303 0.607
Cu1 0.903 0.403 0.805
Th2 0.653 0.153 0.305
Th3 0.000 0.000 0.000
Cu2 0.097 0.597 0.195
Cu3 0.251 0.251 0.501
Ga3 0.448 0.448 0.897
Cu4 0.749 0.749 0.499
Ga4 0.197 0.697 0.393

Output
Space group   Immm, No. 71
Calculated total energy   -55.35 eV per cell
Total magnetization   0.0 Bohr magnetons per cell

=====

The following is a PBE-GGA calculation of a relaxed MgO4 crystal, from Alexandria via LeMat-Bulk.

Lattice parameters (Å, degrees): 4.034 4.034 4.034 90.00 90.00 90.00
Last column: magnetic moment on the atom in μB.
Sites, in units of the cell vectors:
Mg1 0.500 0.500 0.500  -0.02
O1 0.500 0.000 0.500  1.12
O2 0.000 0.500 0.500  1.12
O3 0.500 0.500 0.000  1.12
O4 0.000 0.000 0.000  1.62

Output
Formation energy from raw total energies   1.6 eV/f.u.
Space group   Pm-3m, No. 221
Total magnetization   6.0 Bohr magnetons per cell

=====

The following is a PBE-GGA calculation of a relaxed CsYBi2 crystal, from Alexandria via LeMat-Bulk.

Lattice parameters (Å, degrees): 5.878 5.878 5.878 60.00 60.00 60.00
Sites, in units of the cell vectors:
Y1 0.000 0.000 0.000
Bi1 0.250 0.250 0.250
Cs1 0.500 0.500 0.500
Bi2 0.750 0.750 0.750

Output
Polymorph energy (0 for the lowest one)   362 meV/atom
Space group   Fm-3m, No. 225
Total magnetization   0.0 Bohr magnetons per cell

=====

The following is a PBE-GGA calculation of a relaxed LiErIr crystal, from Alexandria via LeMat-Bulk.

Lattice parameters (Å, degrees): 9.234 9.234 4.204 90.00 90.00 160.00
Sites, in units of the cell vectors:
Er1 0.683 0.317 0.250
Ir1 0.540 0.460 0.250
Li1 0.924 0.076 0.250
Ir2 0.460 0.540 0.750
Er2 0.317 0.683 0.750
Li2 0.076 0.924 0.750

Output
Polymorph energy (0 for the lowest one)   536 meV/atom
Space group   Cmcm, No. 63
Total magnetization   0.0 Bohr magnetons per cell

=====

The following is a PBE-GGA calculation of a relaxed ZrGaPt3 crystal, from Alexandria via LeMat-Bulk.

Lattice parameters (Å, degrees): 4.625 4.625 4.625 90.00 90.00 90.00
Sites, in units of the cell vectors:
Pt1 0.000 0.000 0.500
Pt2 0.000 0.500 0.000
Ga1 0.000 0.000 0.000
Pt3 0.500 0.000 0.000
Zr1 0.500 0.500 0.500

Output
Polymorph energy (0 for the lowest one)   0 meV/atom
Space group   Pm-3m, No. 221
Total magnetization   0.0 Bohr magnetons per cell

=====

The following is a PBE-GGA calculation of a relaxed YBRu2 crystal, from Alexandria via LeMat-Bulk.

Lattice parameters (Å, degrees): 4.641 4.641 7.877 72.87 72.87 90.00
Sites, in units of the cell vectors:
B1 0.500 0.500 0.000
B2 0.250 0.750 0.500
Ru1 0.375 0.588 0.750
Ru2 0.875 0.662 0.750
Ru3 0.412 0.125 0.250
Y1 0.000 0.000 0.000
Ru4 0.338 0.625 0.250
Y2 0.750 0.250 0.500

Output
Space group   I-42d, No. 122
Calculated total energy   -61.75 eV per cell
Total magnetization   0.0 Bohr magnetons per cell

=====

What did the second record say?
The following is a PBE-GGA calculation of a relaxed NaGeBiCl2 crystal, from Alexandria via LeMat-Bulk.

Lattice parameters (Å, degrees): 5.630 5.662 5.630 90.00 90.00 90.00
Last column: magnetic moment on the atom in μB.
Sites, in units of the cell vectors:
Ge1 0.000 0.500 0.000  0.53
Bi1 0.000 0.000 0.000  -0.01
Cl1 0.500 0.000 0.000  0.04
Cl2 0.000 0.000 0.500  0.06
Na1 0.500 0.500 0.500  0.01

Output
Formation energy from raw total energies   -1.3 eV/f.u.
Space group   P4/mmm, No. 123
Total magnetization   1.6 Bohr magnetons per cell

=====

The highest total magnetization belongs to which entry? MgO4

=====

Number 5 is which compound? La2NdMg5